Material: ScFe2SeN
Method: DFT, PBE
State: optimized geometry

For the uncorrected energy, the calculation gives -29.83 eV for the cell shown. The calculation puts the theoretical density at 4.305 g cm⁻³. The value obtained for the uncorrected formation energy is 1046 meV/atom. The magnetic moment comes out at 1.20 μB per atom.

a = 4.300 Å, b = 4.300 Å, c = 5.207 Å
α = 90.00°, β = 90.00°, γ = 90.00°
Space group P4/mmm (No. 123)
Inequivalent atoms, fractional coordinates:
Sc 0.000 0.000 0.000
Fe 0.000 0.500 0.500
Se 0.000 0.000 0.500
N 0.500 0.500 0.000